[1]
Y2Si4Ni3Rh after structural relaxation, computed with GGA-PBE.

Computed properties:
Total magnetization   0.0 μB per cell
E   -6.844 eV per atom
D(E_F)   4.95 states/eV/cell
Uncorrected formation energy   -0.9120 eV per atom

Cell: 3.970 3.970 9.703 Å, 90.00 90.00 90.00°
Space group P-4m2 (No. 115)
Unique sites:
1 Y 0.000 0.500 0.242
2 Si 0.000 0.000 0.000
3 Si 0.000 0.500 0.638
4 Si 0.500 0.500 0.000
5 Ni 0.000 0.500 0.876
6 Ni 0.500 0.500 0.500
7 Rh 0.000 0.000 0.500



[2]
CaPS2 after structural relaxation, computed with GGA-PBE.

Computed properties:
Total magnetization   0.0 μB per cell
E   -4.488 eV per atom
Relative energy among the computed polymorphs   0.000 eV per atom
D(E_F)   4.89 states/eV/cell
Uncorrected formation energy   -0.5715 eV per atom

Cell: 5.434 5.434 13.804 Å, 90.00 90.00 90.00°
Space group I-42d (No. 122)
Unique sites:
1 Ca 0.000 0.000 0.000
2 P 0.000 0.000 0.500
3 S 0.189 0.250 0.625



[3]
Nd6BiRh2 after structural relaxation, computed with GGA-PBE.

Computed properties:
Total magnetization   0.0 μB per cell
E   -5.726 eV per atom
D(E_F)   35.81 states/eV/cell

Cell: 16.247 10.767 6.366 Å, 90.00 103.99 90.00°
Space group C2/c (No. 15)
Unique sites:
1 Nd 0.102 0.092 0.142
2 Nd 0.114 0.431 0.195
3 Nd 0.192 0.244 0.710
4 Bi 0.000 0.301 0.750
5 Rh 0.240 0.001 0.976



[4]
BaCaPt2 after structural relaxation, computed with GGA-PBE.

Computed properties:
Total magnetization   0.0 μB per cell
E   -4.710 eV per atom
Relative energy among the computed polymorphs   0.040 eV per atom
D(E_F)   1.18 states/eV/cell

Cell: 4.8587 4.8587 16.0381 Å, 90.00 90.00 120.00°
Space group R-3m (No. 166, hexagonal axes)
Unique sites:
1 Ba 0.0000 0.0000 0.0000
2 Ca 0.0000 0.0000 0.5000
3 Pt 0.0000 0.0000 0.2121



[5]
Na2CdPdO4 after structural relaxation, computed with GGA-PBE.

Computed properties:
Total magnetization   0.0 μB per cell
E   -4.592 eV per atom
D(E_F)   0.77 states/eV/cell
Uncorrected formation energy   -1.0193 eV per atom

Cell: 5.741 3.207 5.804 Å, 90.00 110.41 90.00°
Space group P2/m (No. 10)
Unique sites:
1 Na 0.000 0.000 0.000
2 Na 0.000 0.500 0.500
3 Cd 0.500 0.000 0.500
4 Pd 0.500 0.500 0.000
5 O 0.288 0.500 0.227
6 O 0.293 0.000 0.798



[6]
Zr3ScAs3 after structural relaxation, computed with GGA-PBE.

Computed properties:
Total magnetization   0.0 μB per cell
E   -7.518 eV per atom
D(E_F)   38.69 states/eV/cell

Cell: 7.9860 7.9860 15.8670 Å, 90.00 90.00 120.00°
Space group R-3 (No. 148, hexagonal axes)
Unique sites:
1 Zr 0.0017 0.7559 0.4140
2 Sc 0.0000 0.0000 0.1813
3 As 0.0103 0.6149 0.5797



[7]
SbP2PtCl after structural relaxation, computed with GGA-PBE.

Computed properties:
Total magnetization   0.0 μB per cell
E   -4.114 eV per atom
Relative energy among the computed polymorphs   0.000 eV per atom
D(E_F)   3.49 states/eV/cell
Uncorrected formation energy   0.4524 eV per atom

Cell: 4.732 4.732 4.837 Å, 90.00 90.00 90.00°
Space group P4/mmm (No. 123)
Unique sites:
1 Sb 0.000 0.000 0.000
2 P 0.000 0.500 0.500
3 Pt 0.500 0.500 0.500
4 Cl 0.500 0.500 0.000



[8]
Ga2Co2Os after structural relaxation, computed with GGA-PBE.

Computed properties:
Total magnetization   1.4 μB per cell
E   -6.154 eV per atom
Relative energy among the computed polymorphs   0.106 eV per atom
D(E_F)   12.61 states/eV/cell

Cell: 6.894 6.894 2.689 Å, 90.00 90.00 90.00°
Space group P4/mbm (No. 127)
Unique sites:
1 Ga 0.174 0.326 0.000
2 Co 0.124 0.624 0.500
3 Os 0.000 0.000 0.500



[9]
Dy8MgSc2 after structural relaxation, computed with GGA-PBE.

Computed properties:
Total magnetization   0.0 μB per cell
E   -4.601 eV per atom
Relative energy among the computed polymorphs   0.000 eV per atom
D(E_F)   30.22 states/eV/cell

Cell: 18.804 5.462 6.336 Å, 90.00 93.59 90.00°
Space group C2/m (No. 12)
Unique sites:
1 Dy 0.046 0.000 0.262
2 Dy 0.083 0.500 0.592
3 Dy 0.156 0.000 0.806
4 Dy 0.164 0.500 0.123
5 Mg 0.000 0.500 0.000
6 Sc 0.240 0.000 0.344



[10]
Ac2HoTe2O2 after structural relaxation, computed with GGA-PBE.

Computed properties:
Total magnetization   0.0 μB per cell
E   -6.432 eV per atom
D(E_F)   6.59 states/eV/cell
Uncorrected formation energy   -2.2895 eV per atom

Cell: 4.504 4.504 17.205 Å, 90.00 90.00 90.00°
Space group I4/mmm (No. 139)
Unique sites:
1 Ac 0.000 0.000 0.114
2 Ho 0.000 0.000 0.500
3 Te 0.000 0.000 0.320
4 O 0.000 0.500 0.000



[11]
Na2HgSb2 after structural relaxation, computed with GGA-PBE.

Computed properties:
Total magnetization   0.0 μB per cell
E   -2.479 eV per atom
Relative energy among the computed polymorphs   0.017 eV per atom
D(E_F)   1.51 states/eV/cell
Uncorrected formation energy   -0.2417 eV per atom

Cell: 7.660 7.660 5.068 Å, 90.00 90.00 90.00°
Space group P4/mbm (No. 127)
Unique sites:
1 Na 0.166 0.334 0.000
2 Hg 0.000 0.000 0.500
3 Sb 0.138 0.638 0.500



[12]
Cu2AgAu5 after structural relaxation, computed with GGA-PBE.

Computed properties:
Total magnetization   0.0 μB per cell
E   -3.390 eV per atom
Relative energy among the computed polymorphs   0.000 eV per atom
D(E_F)   12.28 states/eV/cell

Cell: 7.027 7.027 11.047 Å, 90.00 90.00 90.00°
Space group I4/mcm (No. 140)
Unique sites:
1 Cu 0.144 0.356 0.000
2 Ag 0.000 0.000 0.250
3 Au 0.000 0.000 0.000
4 Au 0.150 0.350 0.346



[13]
AlRh2 after structural relaxation, computed with GGA-PBE.

Computed properties:
Total magnetization   0.0 μB per cell
E   -6.216 eV per atom
D(E_F)   15.84 states/eV/cell

Cell: 7.204 7.204 7.204 Å, 90.00 90.00 90.00°
Space group Fd-3m (No. 227, origin choice 2)
Unique sites:
1 Al 0.125 0.125 0.125
2 Rh 0.000 0.000 0.500



[14]
Nd2Tm2Rh15 after structural relaxation, computed with GGA-PBE.

Computed properties:
Total magnetization   0.0 μB per cell
E   -7.155 eV per atom
D(E_F)   80.42 states/eV/cell

Cell: 9.1324 9.1324 13.5177 Å, 90.00 90.00 120.00°
Space group R-3m (No. 166, hexagonal axes)
Unique sites:
1 Nd 0.0000 0.0000 0.1429
2 Tm 0.0000 0.0000 0.3912
3 Rh 0.0000 0.3041 0.5000
4 Rh 0.0000 0.5000 0.0000
5 Rh 0.0047 0.5023 0.6526



[15]
NbSb2P after structural relaxation, computed with GGA-PBE.

Computed properties:
Total magnetization   7.5 μB per cell
E   -5.354 eV per atom
D(E_F)   5.32 states/eV/cell
Uncorrected formation energy   0.5769 eV per atom

Cell: 6.333 6.333 12.050 Å, 90.00 90.00 90.00°
Space group I-42d (No. 122)
Unique sites:
1 Nb 0.000 0.000 0.000
2 Sb 0.238 0.250 0.625
3 P 0.000 0.000 0.500



[16]
HoPu2Mn3 after structural relaxation, computed with GGA-PBE.

Computed properties:
Total magnetization   15.3 μB per cell
E   -9.953 eV per atom
Relative energy among the computed polymorphs   0.108 eV per atom
D(E_F)   41.82 states/eV/cell

Cell: 9.308 7.758 6.245 Å, 90.00 90.00 90.00°
Space group Cmcm (No. 63)
Unique sites:
1 Ho 0.000 0.194 0.250
2 Pu 0.218 0.500 0.000
3 Mn 0.000 0.421 0.750
4 Mn 0.159 0.159 0.750



[17]
KSr2Pb2 after structural relaxation, computed with GGA-PBE.

Computed properties:
Total magnetization   0.0 μB per cell
E   -2.467 eV per atom
Relative energy among the computed polymorphs   0.284 eV per atom
D(E_F)   8.82 states/eV/cell

Cell: 6.071 6.071 13.002 Å, 90.00 90.00 90.00°
Space group I4/mmm (No. 139)
Unique sites:
1 K 0.000 0.000 0.000
2 Sr 0.000 0.000 0.347
3 Pb 0.000 0.500 0.250



[18]
AcScPa after structural relaxation, computed with GGA-PBE.

Computed properties:
Total magnetization   0.0 μB per cell
E   -6.293 eV per atom
D(E_F)   41.90 states/eV/cell

Cell: 5.0937 5.0937 27.4435 Å, 90.00 90.00 120.00°
Space group R-3m (No. 166, hexagonal axes)
Unique sites:
1 Ac 0.0000 0.0000 0.2116
2 Sc 0.0000 0.0000 0.0537
3 Pa 0.0000 0.0000 0.3378



[19]
HfGaPb after structural relaxation, computed with GGA-PBE.

Computed properties:
Total magnetization   0.0 μB per cell
E   -5.505 eV per atom
D(E_F)   3.52 states/eV/cell

Cell: 4.069 4.069 8.207 Å, 90.00 90.00 90.00°
Space group P4/nmm (No. 129, origin choice 2)
Unique sites:
1 Hf 0.250 0.250 0.237
2 Ga 0.250 0.750 0.500
3 Pb 0.250 0.250 0.845



[20]
Rb3U2CdO9 after structural relaxation, computed with GGA-PBE.

Computed properties:
Total magnetization   0.0 μB per cell
E   -7.091 eV per atom
D(E_F)   11.44 states/eV/cell
Uncorrected formation energy   -2.3563 eV per atom

Cell: 6.1667 6.1667 7.5445 Å, 90.00 90.00 120.00°
Space group P-3m1 (No. 164)
Unique sites:
1 Rb 0.0000 0.0000 0.0000
2 Rb 0.3333 0.6667 0.6573
3 U 0.3333 0.6667 0.1667
4 Cd 0.0000 0.0000 0.5000
5 O 0.0000 0.5000 0.0000
6 O 0.1774 0.3548 0.3164



[21]
TaNiRh2 after structural relaxation, computed with GGA-PBE.

Computed properties:
Total magnetization   0.0 μB per cell
E   -8.258 eV per atom
D(E_F)   23.18 states/eV/cell

Cell: 6.142 6.142 6.142 Å, 90.00 90.00 90.00°
Space group F-43m (No. 216)
Unique sites:
1 Ta 0.000 0.000 0.000
2 Ni 0.250 0.250 0.250
3 Rh 0.000 0.000 0.500
4 Rh 0.250 0.250 0.750



[22]
RbTa2Rh after structural relaxation, computed with GGA-PBE.

Computed properties:
Total magnetization   0.0 μB per cell
E   -6.560 eV per atom
Relative energy among the computed polymorphs   0.112 eV per atom
D(E_F)   23.32 states/eV/cell

Cell: 5.339 5.339 17.471 Å, 90.00 90.00 90.00°
Space group I4_1/amd (No. 141, origin choice 2)
Unique sites:
1 Rb 0.000 0.250 0.375
2 Ta 0.000 0.000 0.000
3 Rh 0.000 0.250 0.875



[23]
BeCrRu2 after structural relaxation, computed with GGA-PBE.

Computed properties:
Total magnetization   0.0 μB per cell
E   -7.796 eV per atom
D(E_F)   17.55 states/eV/cell

Cell: 2.6613 2.6613 24.3004 Å, 90.00 90.00 120.00°
Space group R3m (No. 160, hexagonal axes)
Unique sites:
1 Be 0.0000 0.0000 0.0000
2 Cr 0.0000 0.0000 0.7465
3 Ru 0.0000 0.0000 0.2573
4 Ru 0.0000 0.0000 0.4957